The following is a DFT calculation (PBE) of ZnGa2SbO8 after structural relaxation.

The structure in CIF format:
```
data_ZnGa2SbO8
_symmetry_space_group_name_H-M 'I -4 m 2'
_symmetry_Int_Tables_number 119
_symmetry_space_group_name_Hall 'I -4 -2'
_cell_length_a 6.5037
_cell_length_b 6.5037
_cell_length_c 6.7563
_cell_angle_alpha 90.00
_cell_angle_beta 90.00
_cell_angle_gamma 90.00
loop_
_atom_site_label
_atom_site_type_symbol
_atom_site_fract_x
_atom_site_fract_y
_atom_site_fract_z
Zn1 Zn 0.0000 0.0000 0.0000
Ga1 Ga 0.0000 0.0000 0.5000
Ga2 Ga 0.0000 0.5000 0.2500
Sb1 Sb 0.0000 0.5000 0.7500
O1 O 0.0000 0.2028 0.6874
O2 O 0.0000 0.3113 0.0418
```

Results
For the energy, the calculation gives -5.1913 eV/atom. For the total moment, the calculation gives 6.0 μB/cell. As for the energy relative to the elements, uncorrected: -931.6 meV per atom.

---

The following is a DFT calculation (PBE) of AlCo3 after structural relaxation.

The structure in CIF format:
```
data_AlCo3
_symmetry_space_group_name_H-M 'P 4/m m m'
_symmetry_Int_Tables_number 123
_symmetry_space_group_name_Hall '-P 4 2'
_cell_length_a 4.0078
_cell_length_b 4.0078
_cell_length_c 2.8423
_cell_angle_alpha 90.00
_cell_angle_beta 90.00
_cell_angle_gamma 90.00
loop_
_atom_site_label
_atom_site_type_symbol
_atom_site_fract_x
_atom_site_fract_y
_atom_site_fract_z
Al1 Al 0.0000 0.0000 0.0000
Co1 Co 0.0000 0.5000 0.5000
Co2 Co 0.5000 0.5000 0.0000
```

Results
For the formation enthalpy at 0 K, the calculation gives -0.213 eV/atom. For the energy, the calculation gives -6.4778 eV/atom. For the total moment, the calculation gives 4.0 μB/cell.

---

The following is a DFT calculation (PBE) of ZnPd2N after structural relaxation.

The structure in CIF format:
```
data_ZnPd2N
_symmetry_space_group_name_H-M 'F m -3 m'
_symmetry_Int_Tables_number 225
_symmetry_space_group_name_Hall '-F 4 2 3'
_cell_length_a 5.9450
_cell_length_b 5.9450
_cell_length_c 5.9450
_cell_angle_alpha 90.00
_cell_angle_beta 90.00
_cell_angle_gamma 90.00
loop_
_atom_site_label
_atom_site_type_symbol
_atom_site_fract_x
_atom_site_fract_y
_atom_site_fract_z
Zn1 Zn 0.0000 0.0000 0.0000
Pd1 Pd 0.2500 0.2500 0.2500
N1 N 0.0000 0.0000 0.5000
```

Results
For the energy, the calculation gives -4.2099 eV/atom. For the total moment, the calculation gives 0.2 μB/cell. As for the energy relative to the elements, uncorrected: 786.4 meV per atom.

---

The following is a DFT calculation (PBE) of LiTaW2 after structural relaxation.

The structure in CIF format:
```
data_LiTaW2
_symmetry_space_group_name_H-M 'P m m m'
_symmetry_Int_Tables_number 47
_symmetry_space_group_name_Hall '-P 2 2'
_cell_length_a 2.6309
_cell_length_b 4.5101
_cell_length_c 5.5165
_cell_angle_alpha 90.00
_cell_angle_beta 90.00
_cell_angle_gamma 90.00
loop_
_atom_site_label
_atom_site_type_symbol
_atom_site_fract_x
_atom_site_fract_y
_atom_site_fract_z
Li1 Li 0.0000 0.0000 0.0000
Ta1 Ta 0.0000 0.0000 0.5000
W1 W 0.5000 0.5000 0.2473
```

Results
For the formation enthalpy at 0 K, the calculation gives 0.432 eV/atom. For the energy, the calculation gives -9.4862 eV/atom. For the total moment, the calculation gives 0.0 μB/cell.

---

The following is a DFT calculation (PBE) of Sr5Ru after structural relaxation.

The structure in CIF format:
```
data_Sr5Ru
_symmetry_space_group_name_H-M 'F -4 3 m'
_symmetry_Int_Tables_number 216
_symmetry_space_group_name_Hall 'F -4 2 3'
_cell_length_a 10.3405
_cell_length_b 10.3405
_cell_length_c 10.3405
_cell_angle_alpha 90.00
_cell_angle_beta 90.00
_cell_angle_gamma 90.00
loop_
_atom_site_label
_atom_site_type_symbol
_atom_site_fract_x
_atom_site_fract_y
_atom_site_fract_z
Sr1 Sr 0.0000 0.0000 0.0000
Sr2 Sr 0.1239 0.1239 0.6239
Ru1 Ru 0.2500 0.2500 0.2500
```

Results
For the formation enthalpy at 0 K, the calculation gives 0.903 eV/atom. For the energy, the calculation gives -2.0450 eV/atom. For the total moment, the calculation gives 8.8 μB/cell.

---

The following is a DFT calculation (PBE) of TiMnPOsS after structural relaxation.

The structure in CIF format:
```
data_TiMnPOsS
_symmetry_space_group_name_H-M 'P m m 2'
_symmetry_Int_Tables_number 25
_symmetry_space_group_name_Hall 'P 2 -2'
_cell_length_a 3.0851
_cell_length_b 3.4742
_cell_length_c 6.4969
_cell_angle_alpha 90.00
_cell_angle_beta 90.00
_cell_angle_gamma 90.00
loop_
_atom_site_label
_atom_site_type_symbol
_atom_site_fract_x
_atom_site_fract_y
_atom_site_fract_z
Ti1 Ti 0.0000 0.0000 0.0000
Mn1 Mn 0.5000 0.0000 0.6413
P1 P 0.0000 0.0000 0.3935
Os1 Os 0.5000 0.5000 0.2807
S1 S 0.5000 0.5000 0.8678
```

Results
For the energy, the calculation gives -8.0334 eV/atom. For the total moment, the calculation gives 1.8 μB/cell. As for the energy relative to the elements, uncorrected: -467.1 meV per atom.